Y2ScAl PBEsol optimized geometry; formation enthalpy at 0 K = -198 meV/atom; electronic total energy = -0.4618 Ry/atom
1.0
3.3951 0.0000 0.0000
0.0000 3.3951 0.0000
0.0000 0.0000 8.6499
Y Sc Al
2 1 1
direct
0.0000 0.0000 0.9845 Y
0.5000 0.5000 0.2881 Y
0.5000 0.5000 0.7113 Sc
0.0000 0.0000 0.5161 Al

Fe2Sb PBEsol optimized geometry; electronic total energy = -0.5175 Ry/atom; energy relative to the elements, uncorrected = 0.45 eV per atom
1.0
-2.2918 2.7474 -0.6840
-2.4884 -1.5349 2.1726
4.8348 2.7141 4.4016
Fe Sb
4 2
direct
0.8321 0.3321 0.6643 Fe
0.4179 0.4179 0.8357 Fe
0.6679 0.1679 0.3357 Fe
0.5821 0.5821 0.1643 Fe
0.2500 0.7500 0.5000 Sb
0.0000 0.0000 0.0000 Sb